1.
Compound: BaLaCo
Source: Alexandria
Functional: meta-GGA SCAN
Structure: single point on PBEsol structure

```
BaLaCo
1.0
-1.7838 1.7838 6.9901
1.7838 -1.7838 6.9901
1.7838 1.7838 -6.9901
Ba La Co
1 1 1
direct
0.0000 0.0000 0.0000
0.2416 0.2416 0.0000
0.6538 0.6538 0.0000
```

Summary:
As for the space-group type: I4mm (107). The calculation puts the magnetic moment at 0.86 μB/cell. For the energy of formation from the pure elements, the calculation gives 0.224 eV/atom. The theoretical density is 6.26 g/cm³.



2.
Compound: BaLaCo2
Source: Alexandria
Functional: meta-GGA SCAN
Structure: single point on PBEsol structure

```
BaLaCo2
1.0
5.0148 0.0000 0.0000
0.0000 5.0148 0.0000
0.0000 0.0000 3.5373
Ba La Co
1 1 2
direct
0.0000 0.0000 0.0000
0.5000 0.5000 0.0000
0.0000 0.5000 0.5000
0.5000 0.0000 0.5000
```

Summary:
As for the space-group type: P4/mmm (123). The calculation puts the magnetic moment at 1.78 μB/cell. For the energy of formation from the pure elements, the calculation gives 0.421 eV/atom. The theoretical density is 7.36 g/cm³.



3.
Compound: BaLaCo2O5
Source: Alexandria
Functional: meta-GGA SCAN
Structure: single point on PBEsol structure

```
BaLaCo2O5
1.0
3.8793 0.0000 0.0000
0.0000 3.8793 0.0000
0.0000 0.0000 7.4796
Ba La Co O
1 1 2 5
direct
0.0000 0.0000 0.0000
0.0000 0.0000 0.5000
0.5000 0.5000 0.2529
0.5000 0.5000 0.7471
0.0000 0.5000 0.2917
0.0000 0.5000 0.7083
0.5000 0.0000 0.2917
0.5000 0.0000 0.7083
0.5000 0.5000 0.0000
```

Summary:
As for the space-group type: P4/mmm (123). The value obtained for the uncorrected formation energy is -2.2727 eV/atom. The calculation puts the magnetic moment at 5.41 μB/cell. The theoretical density is 6.99 g/cm³.



4.
Compound: BaLa2Co3O9
Source: Alexandria
Functional: meta-GGA SCAN
Structure: single point on PBEsol structure

```
BaLa2Co3O9
1.0
5.4003 0.0000 0.0000
-2.7002 4.6768 0.0000
0.0000 0.0000 6.5944
Ba La Co O
1 2 3 9
direct
0.0000 0.0000 0.0000
0.3333 0.6667 0.6598
0.6667 0.3333 0.3402
0.0000 0.0000 0.5000
0.3333 0.6667 0.1612
0.6667 0.3333 0.8388
0.0000 0.5000 0.0000
0.1720 0.3441 0.3470
0.1720 0.8280 0.3470
0.3441 0.1720 0.6530
0.5000 0.0000 0.0000
0.5000 0.5000 0.0000
0.6559 0.8280 0.3470
0.8280 0.1720 0.6530
0.8280 0.6559 0.6530
```

Summary:
As for the space-group type: P-3m1 (164). The value obtained for the uncorrected formation energy is -2.3400 eV/atom. The calculation puts the magnetic moment at 4.94 μB/cell. The theoretical density is 7.34 g/cm³.



Q: Which formula does entry 1 have?
A: BaLaCo



Q: The lowest magnetic moment belongs to which entry?
A: BaLaCo



Q: magnetic moment of number 3 (BaLaCo2O5)?
A: 5.41 μB/cell



Q: Look up the theoretical density of the third one.
A: 6.99 g/cm³